No. 1
AcGeCl6: optimized geometry, PBE.

## Properties
Space group = C2/m

Cell lengths 6.908, 6.908, 6.676 Å; angles 97.49, 97.49, 121.03 degrees
Element x y z (fractional)
Cl  0.255  0.255  0.722
Cl  0.745  0.745  0.278
Ac  0.000  0.000  0.000
Cl  0.854  0.561  0.725
Cl  0.439  0.146  0.275
Ge  0.500  0.500  0.500
Cl  0.561  0.854  0.725
Cl  0.146  0.439  0.275

=====

No. 2
Sr2HfThN4: optimized geometry, PBE.

## Properties
Space group = P2/m

Cell lengths 3.555, 6.154, 6.341 Å; angles 108.75, 90.00, 90.00 degrees
Element x y z (fractional)
N  0.000  0.243  0.797
Hf  0.000  0.000  0.000
N  0.500  0.221  0.203
N  0.500  0.779  0.797
N  0.000  0.757  0.203
Sr  0.000  0.500  0.500
Th  0.500  0.500  0.000
Sr  0.500  0.000  0.500

=====

No. 3
Cu5NiPd4: optimized geometry, PBE.

## Properties
Space group = C2/m

Cell lengths 2.652, 8.484, 6.548 Å; angles 108.40, 101.68, 90.00 degrees
Site moments in Bohr magnetons follow the coordinates.
Element x y z (fractional)
Cu  0.500  0.500  0.000  0.00
Cu  0.216  0.117  0.431  0.00
Pd  0.388  0.701  0.776  0.04
Pd  0.091  0.806  0.183  0.06
Ni  0.500  0.000  0.000  0.64
Cu  0.184  0.581  0.368  0.01
Cu  0.816  0.419  0.632  0.01
Pd  0.612  0.299  0.224  0.04
Pd  0.909  0.194  0.817  0.06
Cu  0.784  0.883  0.569  0.00

=====

No. 4
Sc4Tc: optimized geometry, PBE.

## Properties
Space group = I4_1/amd

Cell lengths 6.774, 6.774, 6.774 Å; angles 106.38, 106.38, 115.84 degrees
Site moments in Bohr magnetons follow the coordinates.
Element x y z (fractional)
Sc  0.583  0.278  0.695  0.06
Sc  0.583  0.888  0.305  0.06
Sc  0.028  0.833  0.195  0.06
Sc  0.112  0.417  0.695  0.06
Sc  0.638  0.833  0.805  0.06
Sc  0.167  0.972  0.805  0.06
Tc  0.250  0.750  0.500  0.00
Sc  0.722  0.417  0.305  0.06
Tc  0.500  0.500  0.000  0.00
Sc  0.167  0.362  0.195  0.06

=====

No. 5
Al2FeOsAu: optimized geometry, PBE.

## Properties
Space group = P4/mmm

Cell lengths 4.699, 4.482, 4.699 Å; angles 90.00, 90.00, 90.00 degrees
Site moments in Bohr magnetons follow the coordinates.
Element x y z (fractional)
Al  0.000  0.000  0.500  0.00
Al  0.500  0.000  0.000  0.00
Os  0.000  0.000  0.000  0.00
Au  0.500  0.500  0.500  0.00
Fe  0.000  0.500  0.000  -0.10

=====

No. 6
K2UMn2Se6: optimized geometry, PBE.

## Properties
Space group = C2/m

Cell lengths 6.683, 6.683, 8.275 Å; angles 98.17, 98.17, 118.80 degrees
Site moments in Bohr magnetons follow the coordinates.
Element x y z (fractional)
Se  0.403  0.055  0.693  -0.04
Se  0.945  0.597  0.307  -0.04
Se  0.597  0.945  0.307  -0.04
K  0.164  0.836  0.000  0.00
U  0.000  0.000  0.500  1.69
Se  0.055  0.403  0.693  -0.04
Mn  0.669  0.331  0.500  3.96
Se  0.712  0.712  0.685  -0.04
Se  0.288  0.288  0.315  -0.04
Mn  0.331  0.669  0.500  3.96
K  0.836  0.164  0.000  0.00

=====

No. 7
Li2V2As2N: optimized geometry, PBE.

## Properties
Space group = I4/mmm

Cell lengths 3.885, 3.885, 7.268 Å; angles 105.50, 105.50, 90.00 degrees
Element x y z (fractional)
As  0.365  0.365  0.731
V  0.000  0.500  0.000
Li  0.168  0.168  0.335
As  0.635  0.635  0.269
Li  0.832  0.832  0.665
V  0.500  0.000  0.000
N  0.000  0.000  0.000

=====

No. 8
NaIrF3: optimized geometry, PBE.

## Properties
Space group = Pm-3m

Cell lengths 4.066, 4.066, 4.066 Å; angles 90.00, 90.00, 90.00 degrees
Site moments in Bohr magnetons follow the coordinates.
Element x y z (fractional)
Na  0.000  0.000  0.000  0.00
F  0.000  0.000  0.500  0.07
Ir  0.500  0.500  0.500  2.59
F  0.500  0.000  0.000  0.09
F  0.000  0.500  0.000  0.12

=====

No. 9
SnBiPb6: optimized geometry, PBE.

## Properties
Space group = C2/m

Cell lengths 6.841, 6.841, 8.075 Å; angles 108.20, 108.20, 120.01 degrees
Element x y z (fractional)
Pb  0.751  0.751  0.250
Pb  0.687  0.221  0.263
Sn  0.500  0.500  0.500
Pb  0.313  0.779  0.737
Pb  0.221  0.687  0.263
Pb  0.779  0.313  0.737
Bi  0.000  0.000  0.000
Pb  0.249  0.249  0.750

=====

No. 10
BaSr2Sb2: optimized geometry, PBE.

## Properties
Space group = P4/mbm

Cell lengths 9.425, 9.425, 4.343 Å; angles 90.00, 90.00, 90.00 degrees
Element x y z (fractional)
Sr  0.637  0.863  0.500
Ba  0.000  0.000  0.000
Ba  0.500  0.500  0.000
Sb  0.664  0.164  0.000
Sb  0.164  0.336  0.000
Sb  0.836  0.664  0.000
Sr  0.137  0.637  0.500
Sb  0.336  0.836  0.000
Sr  0.863  0.363  0.500
Sr  0.363  0.137  0.500

=====

No. 11
Pr2Al4Ag3Hg: optimized geometry, PBE.

## Properties
Space group = P-4m2

Cell lengths 4.458, 4.458, 10.818 Å; angles 90.00, 90.00, 90.00 degrees
Element x y z (fractional)
Ag  0.500  0.000  0.873
Ag  0.000  0.500  0.127
Hg  0.500  0.500  0.500
Al  0.000  0.500  0.359
Al  0.000  0.000  0.000
Ag  0.000  0.000  0.500
Al  0.500  0.000  0.641
Al  0.500  0.500  0.000
Pr  0.000  0.500  0.753
Pr  0.500  0.000  0.247

=====

No. 12
KBiTeI2: optimized geometry, PBE.

## Properties
Space group = P4/mmm

Cell lengths 6.078, 6.078, 6.319 Å; angles 90.00, 90.00, 90.00 degrees
Element x y z (fractional)
K  0.000  0.000  0.000
I  0.000  0.500  0.000
I  0.500  0.000  0.000
Bi  0.500  0.500  0.500
Te  0.000  0.000  0.500

=====

No. 13
RbZn2Sn2: optimized geometry, PBE.

## Properties
Space group = I4/mmm

Cell lengths 4.821, 4.821, 6.810 Å; angles 69.27, 69.27, 90.00 degrees
Element x y z (fractional)
Zn  0.250  0.750  0.500
Zn  0.750  0.250  0.500
Sn  0.374  0.374  0.253
Sn  0.626  0.626  0.747
Rb  0.000  0.000  0.000

=====

No. 14
Pr4SiSe2O: optimized geometry, PBE.

## Properties
Space group = P2/m

Cell lengths 4.124, 7.004, 7.367 Å; angles 109.10, 90.00, 90.00 degrees
Element x y z (fractional)
Pr  0.000  0.240  0.776
O  0.000  0.000  0.000
Se  0.500  0.000  0.500
Pr  0.500  0.229  0.218
Pr  0.000  0.760  0.224
Se  0.000  0.500  0.500
Pr  0.500  0.771  0.782
Si  0.500  0.500  0.000

=====

No. 15
DyBe2Pt2: optimized geometry, PBE.

## Properties
Space group = P4/nmm

Cell lengths 4.004, 4.004, 9.546 Å; angles 90.00, 90.00, 90.00 degrees
Element x y z (fractional)
Pt  0.500  0.500  0.500
Pt  0.500  0.000  0.873
Pt  0.000  0.000  0.500
Be  0.000  0.000  0.000
Dy  0.000  0.500  0.751
Be  0.500  0.500  0.000
Be  0.000  0.500  0.374
Be  0.500  0.000  0.626
Pt  0.000  0.500  0.127
Dy  0.500  0.000  0.249

=====

No. 16
AlTlPb2: optimized geometry, PBE.

## Properties
Space group = R-3m

Cell lengths 10.388, 10.388, 10.388 Å; angles 20.07, 20.07, 20.07 degrees
Element x y z (fractional)
Tl  0.250  0.250  0.250
Al  0.750  0.750  0.750
Pb  0.011  0.011  0.011
Pb  0.489  0.489  0.489

=====

No. 17
ZrAlCr2: optimized geometry, PBE.

## Properties
Space group = Cmm2

Cell lengths 2.772, 2.772, 8.608 Å; angles 90.00, 90.00, 112.00 degrees
Element x y z (fractional)
Al  0.500  0.500  0.780
Cr  0.000  0.000  0.019
Cr  0.500  0.500  0.216
Zr  0.000  0.000  0.485

=====

No. 18
Nd3CuB2Pd9: optimized geometry, PBE.

## Properties
Space group = P-3m1

Cell lengths 6.621, 6.621, 7.082 Å; angles 90.00, 90.00, 120.00 degrees
Element x y z (fractional)
Pd  0.500  0.000  0.000
Pd  0.185  0.370  0.320
Pd  0.815  0.185  0.680
Pd  0.815  0.630  0.680
Pd  0.630  0.815  0.320
Nd  0.000  0.000  0.000
B  0.333  0.667  0.142
Nd  0.667  0.333  0.333
Pd  0.500  0.500  0.000
Pd  0.000  0.500  0.000
Nd  0.333  0.667  0.667
Pd  0.185  0.815  0.320
Pd  0.370  0.185  0.680
B  0.667  0.333  0.858
Cu  0.000  0.000  0.500

=====

No. 19
CaYMnOs2: optimized geometry, PBE.

## Properties
Space group = P4/mmm

Cell lengths 4.987, 4.733, 4.987 Å; angles 90.00, 90.00, 90.00 degrees
Site moments in Bohr magnetons follow the coordinates.
Element x y z (fractional)
Ca  0.500  0.500  0.500  0.01
Mn  0.000  0.500  0.000  -0.81
Os  0.000  0.000  0.500  0.24
Y  0.000  0.000  0.000  0.01
Os  0.500  0.000  0.000  0.28

=====

No. 20
Sm6Mg5Tl: optimized geometry, PBE.

## Properties
Space group = Cmmm

Cell lengths 5.442, 7.679, 8.628 Å; angles 90.00, 71.62, 90.01 degrees
Element x y z (fractional)
Mg  0.330  0.000  0.341
Sm  0.167  0.253  0.666
Mg  0.667  0.500  0.667
Sm  0.167  0.747  0.666
Mg  0.000  0.500  0.000
Sm  0.833  0.253  0.334
Mg  0.333  0.500  0.333
Mg  0.670  0.000  0.659
Sm  0.500  0.251  0.000
Sm  0.500  0.749  0.000
Tl  0.000  0.000  0.000
Sm  0.833  0.747  0.334

=====

no.,total energy (eV per cell)
1,-31.54
2,-64.40
3,-46.83
4,-71.68
5,-26.66
6,-62.84
7,-44.79
8,-18.77
9,-29.42
10,-36.15
11,-36.93
12,-9.34
13,-11.99
14,-50.04
15,-57.49
16,-13.00
17,-30.95
18,-86.38
19,-30.00
20,-40.49